# TiInBi | Alexandria | PBE | relaxed
# - electronic total energy (eV for the cell shown) = -236.09
# - theoretical density (g cm⁻³) = 8.6
# - formation energy from the elements (meV/atom) = -81
data_TiInBi
_chemical_formula_sum 'Ti16 In16 Bi16'
_space_group_name_H-M_alt 'F d d d'
_space_group_IT_number 70
_cell_length_a 5.8619
_cell_length_b 10.0849
_cell_length_c 19.4933
_cell_angle_alpha 90.00
_cell_angle_beta 90.00
_cell_angle_gamma 90.00
loop_
_space_group_symop_operation_xyz
'x,y,z'
'-x,-y,-z'
'-x+1/4,-y+1/4,z'
'x+1/4,y+1/4,-z'
'x,-y+1/4,-z+1/4'
'-x,y+1/4,z+1/4'
'-x+1/4,y,-z+1/4'
'x+1/4,-y,z+1/4'
'x,y+1/2,z+1/2'
'-x,-y+1/2,-z+1/2'
'-x+1/4,-y+3/4,z+1/2'
'x+1/4,y+3/4,-z+1/2'
'x,-y+3/4,-z+3/4'
'-x,y+3/4,z+3/4'
'-x+1/4,y+1/2,-z+3/4'
'x+1/4,-y+1/2,z+3/4'
'x+1/2,y,z+1/2'
'-x+1/2,-y,-z+1/2'
'-x+3/4,-y+1/4,z+1/2'
'x+3/4,y+1/4,-z+1/2'
'x+1/2,-y+1/4,-z+3/4'
'-x+1/2,y+1/4,z+3/4'
'-x+3/4,y,-z+3/4'
'x+3/4,-y,z+3/4'
'x+1/2,y+1/2,z'
'-x+1/2,-y+1/2,-z'
'-x+3/4,-y+3/4,z'
'x+3/4,y+3/4,-z'
'x+1/2,-y+3/4,-z+1/4'
'-x+1/2,y+3/4,z+1/4'
'-x+3/4,y+1/2,-z+1/4'
'x+3/4,-y+1/2,z+1/4'
loop_
_atom_site_label
_atom_site_fract_x
_atom_site_fract_y
_atom_site_fract_z
Ti1 0.1250 0.1250 0.2523
In1 0.1250 0.1250 0.5316
Bi1 0.1250 0.2933 0.1250

# Ti9InBi2 | Alexandria | PBE | relaxed
# - electronic total energy (eV for the cell shown) = -82.48
# - theoretical density (g cm⁻³) = 7.2
# - formation energy from the elements (meV/atom) = -77
data_Ti9InBi2
_chemical_formula_sum 'Ti9 In1 Bi2'
_space_group_name_H-M_alt 'P 4/m m m'
_space_group_IT_number 123
_space_group_name_Hall '-P 4 2'
_cell_length_a 4.1464
_cell_length_b 4.1464
_cell_length_c 12.9562
_cell_angle_alpha 90.00
_cell_angle_beta 90.00
_cell_angle_gamma 90.00
loop_
_atom_site_label
_atom_site_fract_x
_atom_site_fract_y
_atom_site_fract_z
Ti1 0.0000 0.0000 0.0000
Ti2 0.0000 0.0000 0.3302
Ti3 0.0000 0.5000 0.1607
Ti4 0.0000 0.5000 0.5000
In1 0.5000 0.5000 0.0000
Bi1 0.5000 0.5000 0.3326

# TiInBi3 | Alexandria | PBE | relaxed
# - electronic total energy (eV for the cell shown) = -21.43
# - theoretical density (g cm⁻³) = 8.0
# - formation energy from the elements (meV/atom) = 169
data_TiInBi3
_chemical_formula_sum 'Ti1 In1 Bi3'
_space_group_name_H-M_alt 'P m -3 m'
_space_group_IT_number 221
_space_group_name_Hall '-P 4 2 3'
_cell_length_a 5.4660
_cell_length_b 5.4660
_cell_length_c 5.4660
_cell_angle_alpha 90.00
_cell_angle_beta 90.00
_cell_angle_gamma 90.00
loop_
_atom_site_label
_atom_site_fract_x
_atom_site_fract_y
_atom_site_fract_z
Ti1 0.0000 0.0000 0.0000
In1 0.5000 0.5000 0.5000
Bi1 0.0000 0.0000 0.5000